Entry 1:
Compound: Mg3H2Pd9
Source: Alexandria
Functional: PBE
Structure: optimized geometry

E_tot = -64.609 eV/f.u.
Total moment = 0.0 μB per formula unit

a = 5.666 Å, b = 5.666 Å, c = 13.908 Å
α = 90.00°, β = 90.00°, γ = 120.00°
Element x y z (fractional)
Mg 0.000 0.000 0.250
Mg 0.000 0.000 0.750
Mg 0.333 0.667 0.084
Mg 0.333 0.667 0.416
Mg 0.667 0.333 0.584
Mg 0.667 0.333 0.916
H 0.333 0.667 0.646
H 0.333 0.667 0.854
H 0.667 0.333 0.146
H 0.667 0.333 0.354
Pd 0.003 0.502 0.250
Pd 0.164 0.329 0.582
Pd 0.164 0.329 0.918
Pd 0.164 0.836 0.582
Pd 0.164 0.836 0.918
Pd 0.329 0.164 0.082
Pd 0.329 0.164 0.418
Pd 0.498 0.502 0.250
Pd 0.498 0.997 0.250
Pd 0.502 0.003 0.750
Pd 0.502 0.498 0.750
Pd 0.671 0.836 0.582
Pd 0.671 0.836 0.918
Pd 0.836 0.164 0.082
Pd 0.836 0.164 0.418
Pd 0.836 0.671 0.082
Pd 0.836 0.671 0.418
Pd 0.997 0.498 0.750

=====

Entry 2:
Compound: Ce3Si
Source: Alexandria
Functional: PBE
Structure: optimized geometry

Distance to the lowest polymorph of the same formula = 69 meV/atom
Total moment = 0.0 μB per formula unit
Uncorrected formation energy = -0.278 eV/atom

a = 6.147 Å, b = 6.147 Å, c = 6.147 Å
α = 148.59°, β = 62.68°, γ = 127.27°
Element x y z (fractional)
Ce 0.000 0.000 0.000
Ce 0.094 0.314 0.780
Ce 0.534 0.314 0.220
Si 0.528 0.028 0.500